one) Na2Cd2Ag | PBE | relaxed

Cell and atoms, written as extended XYZ:
```
5
Lattice="-0.8390 -3.0403 -0.7379 0.0827 1.1477 -4.8227 7.1151 -2.4283 2.0928" Properties=species:S:1:pos:R:3 pbc="T T T"
Cd 3.9474 -2.6550 -0.5641
Na 0.6796 -3.4229 -0.8029
Cd 2.4114 -1.6659 -2.9037
Na 5.6793 -0.8981 -2.6649
Ag -0.3781 -0.9463 -2.7803
```

crystal system = monoclinic

two) Na2Cd2Ag | PBE | relaxed

Cell and atoms, written as extended XYZ:
```
10
Lattice="-2.7690 -1.7900 -3.2901 1.4357 -5.1440 -1.7069 -8.6700 -3.2196 5.7514" Properties=species:S:1:pos:R:3 pbc="T T T"
Na -6.5519 -5.2124 1.7557
Ag -6.3546 -2.6618 3.4992
Cd -4.1369 -2.8214 1.7195
Na -2.0946 -1.8341 -0.5365
Cd 0.2777 -3.9251 -1.3954
Cd -5.8665 -7.3322 -0.9650
Ag -3.6488 -7.4919 -2.7447
Na -7.9088 -8.3196 1.2910
Na -3.4515 -4.9413 -1.0012
Cd -10.2811 -6.2285 2.1499
```

crystal system = monoclinic

three) Na2Cd2Ag | PBE | relaxed

Cell and atoms, written as extended XYZ:
```
10
Lattice="-0.0137 7.3392 -0.4078 -7.1045 0.0914 1.8839 1.2512 0.2638 4.7055" Properties=species:S:1:pos:R:3 pbc="T T T"
Cd -4.5562 6.3728 0.8542
Ag -3.5591 3.7153 0.7381
Cd -1.0009 4.7073 0.0022
Ag 0.0000 0.0000 0.0000
Cd -2.5620 1.0579 0.6219
Cd -6.1173 2.7233 1.4739
Na -0.5977 2.5581 2.5420
Na -5.2693 5.1363 3.6396
Na -1.7192 6.2421 2.6337
Na -4.1478 1.4524 3.5480
```

crystal system = tetragonal

four) Na2Cd2Ag | PBE | relaxed

Cell and atoms, written as extended XYZ:
```
5
Lattice="4.0674 0.0000 0.0000 0.0000 4.0674 0.0000 2.0337 2.0337 7.7124" Properties=species:S:1:pos:R:3 pbc="T T T"
Ag 0.0000 0.0000 0.0000
Na 2.0337 4.0674 3.8562
Na 4.0674 2.0337 3.8562
Cd 4.0674 4.0674 6.3026
Cd 2.0337 2.0337 1.4098
```

crystal system = tetragonal

The most stable of them is two).

one) Na5CdAg | PBE | relaxed

Cell and atoms, written as extended XYZ:
```
14
Lattice="5.6087 -0.0005 1.2227 1.6015 8.3184 0.4005 -0.1600 -0.1912 8.4770" Properties=species:S:1:pos:R:3 pbc="T T T"
Ag 0.0000 0.0000 0.0000
Na 4.6365 0.3130 6.7209
Na 5.3306 6.0113 3.5068
Na 2.9198 5.5674 1.1229
Na 4.1305 2.5592 8.9772
Na 3.5197 6.7176 6.5541
Na 6.0630 5.4561 8.3625
Ag 2.8044 -0.0003 0.6113
Na 2.4137 7.8136 3.3792
Na 0.9873 2.6706 1.7376
Cd 4.8223 3.5558 5.8373
Cd 2.2280 4.5708 4.2629
Na 1.7197 2.1153 6.5934
Na 3.5306 1.4090 3.5461
```

crystal system = monoclinic

two) Na5CdAg | PBE | relaxed

Cell and atoms, written as extended XYZ:
```
7
Lattice="5.6800 0.0000 0.0000 0.0000 8.8767 0.0000 -2.8400 -4.4383 5.9334" Properties=species:S:1:pos:R:3 pbc="T T T"
Na 2.6005 7.3489 0.0000
Na 2.9009 4.4383 3.0619
Ag 5.4285 0.0000 0.0000
Na 0.0608 0.0000 2.8714
Cd 3.2506 4.4383 0.0000
Na 2.6005 1.5277 0.0000
Na 0.3728 4.4383 0.0000
```

crystal system = orthorhombic

The most stable of them is one).